# 1
First-principles (PBE-GGA) data for an optimized crystal structure of AcPuIrI, as listed in Alexandria via LeMat-Bulk. Values from VASP.

As for the raw formation energy: -3.1 eV per formula unit. As for the space-group type: R3m, No. 160.

Quantum ESPRESSO input file:
```
&SYSTEM
  ibrav = 0, nat = 4, ntyp = 4
/
ATOMIC_SPECIES
Pu 244.00 Pu.upf
I 126.90 I.upf
Ac 227.00 Ac.upf
Ir 192.22 Ir.upf
CELL_PARAMETERS angstrom
-0.365 -2.029 -3.678
3.625 -0.164 2.146
-3.662 -5.414 5.768
ATOMIC_POSITIONS crystal
Pu 0.091 0.944 0.051
I 0.959 0.378 0.351
Ac 0.510 0.153 0.679
Ir 0.317 0.556 0.889
```


# 2
First-principles (PBE-GGA) data for an optimized crystal structure of TlBrF2, as listed in Alexandria via LeMat-Bulk. Values from VASP.

As for the raw formation energy: -1.9 eV per formula unit. As for the space-group type: R-3m, No. 166.

Quantum ESPRESSO input file:
```
&SYSTEM
  ibrav = 0, nat = 4, ntyp = 3
/
ATOMIC_SPECIES
F 19.00 F.upf
Br 79.90 Br.upf
Tl 204.38 Tl.upf
CELL_PARAMETERS angstrom
-6.901 -2.319 6.145
-5.932 -5.383 5.157
-4.271 -3.807 7.617
ATOMIC_POSITIONS crystal
F 0.924 0.924 0.924
F 0.076 0.076 0.076
Br 0.500 0.500 0.500
Tl 0.000 0.000 0.000
```


# 3
First-principles (PBE-GGA) data for an optimized crystal structure of Ga5Cu, as listed in Alexandria via LeMat-Bulk. Values from VASP.

The value obtained for the formation energy is -0.02 eV per atom. As for the space-group type: P2_1/m, No. 11.

Quantum ESPRESSO input file:
```
&SYSTEM
  ibrav = 0, nat = 12, ntyp = 2
/
ATOMIC_SPECIES
Ga 69.72 Ga.upf
Cu 63.55 Cu.upf
CELL_PARAMETERS angstrom
-3.554 0.202 -1.759
0.862 -4.084 2.363
-4.929 5.060 10.542
ATOMIC_POSITIONS crystal
Ga 0.085 0.145 0.873
Ga 0.209 0.429 0.071
Ga 0.791 0.571 0.929
Ga 0.370 0.719 0.750
Ga 0.630 0.281 0.250
Ga 0.209 0.429 0.429
Ga 0.915 0.855 0.373
Ga 0.791 0.571 0.571
Ga 0.085 0.145 0.627
Ga 0.915 0.855 0.127
Cu 0.665 0.300 0.750
Cu 0.335 0.700 0.250
```


# 4
First-principles (PBE-GGA) data for an optimized crystal structure of IrRu2Pb, as listed in Alexandria via LeMat-Bulk. Values from VASP.

The value obtained for the formation energy is 0.48 eV per atom. As for the space-group type: Pmm2, No. 25.

Quantum ESPRESSO input file:
```
&SYSTEM
  ibrav = 0, nat = 4, ntyp = 3
/
ATOMIC_SPECIES
Ru 101.07 Ru.upf
Ir 192.22 Ir.upf
Pb 207.20 Pb.upf
CELL_PARAMETERS angstrom
-2.371 -1.652 0.081
0.890 -1.443 -3.403
3.160 -4.402 2.694
ATOMIC_POSITIONS crystal
Ru 0.500 0.500 0.242
Ru 0.000 0.000 0.036
Ir 0.000 0.000 0.470
Pb 0.500 0.500 0.752
```


# 5
First-principles (PBE-GGA) data for an optimized crystal structure of Pb4OF6, as listed in Alexandria via LeMat-Bulk. Values from VASP.

As for the raw formation energy: -23.4 eV per formula unit. As for the space-group type: P4_2/nmc, No. 137.

Quantum ESPRESSO input file:
```
&SYSTEM
  ibrav = 0, nat = 22, ntyp = 3
/
ATOMIC_SPECIES
F 19.00 F.upf
Pb 207.20 Pb.upf
O 16.00 O.upf
CELL_PARAMETERS angstrom
-4.542 -3.852 1.556
5.458 -4.768 4.129
-1.379 4.427 6.934
ATOMIC_POSITIONS crystal
F 0.018 0.000 0.500
F 0.482 0.500 0.000
F 0.000 0.229 0.771
F 0.000 0.771 0.229
F 0.500 0.271 0.271
F 0.000 0.229 0.229
F 0.500 0.729 0.729
F 0.518 0.000 0.500
F 0.982 0.500 0.000
F 0.500 0.729 0.271
F 0.000 0.771 0.771
F 0.500 0.271 0.729
Pb 0.800 0.752 0.500
Pb 0.200 0.500 0.752
Pb 0.800 0.248 0.500
Pb 0.300 0.000 0.748
Pb 0.200 0.500 0.248
Pb 0.700 0.748 0.000
Pb 0.700 0.252 0.000
Pb 0.300 0.000 0.252
O 0.500 0.000 0.000
O 0.000 0.500 0.500
```


# 6
First-principles (PBE-GGA) data for an optimized crystal structure of LiPd4Au, as listed in Alexandria via LeMat-Bulk. Values from VASP.

The value obtained for the formation energy is -0.05 eV per atom. As for the space-group type: F-43m, No. 216.

Quantum ESPRESSO input file:
```
&SYSTEM
  ibrav = 0, nat = 6, ntyp = 3
/
ATOMIC_SPECIES
Pd 106.42 Pd.upf
Au 196.97 Au.upf
Li 6.94 Li.upf
CELL_PARAMETERS angstrom
5.238 0.000 0.000
2.619 4.536 0.000
2.619 1.512 4.277
ATOMIC_POSITIONS crystal
Pd 0.625 0.625 0.125
Pd 0.625 0.625 0.625
Pd 0.625 0.125 0.625
Pd 0.125 0.625 0.625
Au 0.000 0.000 0.000
Li 0.250 0.250 0.250
```